1.
Pr4CuSeS2 after structural relaxation. Source: the Alexandria database, functional PBE.

Computed properties:
**D(E_F)**: 12.9 states/eV per cell
**Uncorrected energy**: -5.86 eV per atom
**Space group**: I-4m2, No. 119

Lattice parameters (Å, degrees): 5.9152 5.9152 11.7826 90.00 90.00 90.00
Element x y z (fractional)
Pr  0.0000  0.0000  0.2434
Pr  0.0000  0.0000  0.7566
Pr  0.0000  0.5000  0.0046
Pr  0.0000  0.5000  0.4954
Pr  0.5000  0.0000  0.5046
Pr  0.5000  0.0000  0.9954
Pr  0.5000  0.5000  0.2566
Pr  0.5000  0.5000  0.7434
Cu  0.0000  0.0000  0.5000
Cu  0.5000  0.5000  0.0000
Se  0.0000  0.5000  0.7500
Se  0.5000  0.0000  0.2500
S  0.0000  0.0000  0.0000
S  0.0000  0.5000  0.2500
S  0.5000  0.0000  0.7500
S  0.5000  0.5000  0.5000

---

2.
Pr3CuSiS7 after structural relaxation. Source: the Alexandria database, functional PBE.

Computed properties:
**D(E_F)**: 0.0 states/eV per cell
**Uncorrected energy**: -5.95 eV per atom
**Space group**: P6_3, No. 173

Lattice parameters (Å, degrees): 10.2749 10.2749 5.8156 90.00 90.00 120.00
Element x y z (fractional)
Pr  0.1235  0.3565  0.0000
Pr  0.2330  0.8765  0.0000
Pr  0.3565  0.2330  0.5000
Pr  0.6435  0.7670  0.0000
Pr  0.7670  0.1235  0.5000
Pr  0.8765  0.6435  0.5000
Cu  0.0000  0.0000  0.4780
Cu  0.0000  0.0000  0.9780
Si  0.3333  0.6667  0.5861
Si  0.6667  0.3333  0.0861
S  0.0860  0.2504  0.4867
S  0.1139  0.5894  0.7290
S  0.1644  0.9140  0.4867
S  0.2504  0.1644  0.9867
S  0.3333  0.6667  0.2228
S  0.4106  0.5245  0.7290
S  0.4755  0.8861  0.7290
S  0.5245  0.1139  0.2290
S  0.5894  0.4755  0.2290
S  0.6667  0.3333  0.7228
S  0.7496  0.8356  0.4867
S  0.8356  0.0860  0.9867
S  0.8861  0.4106  0.2290
S  0.9140  0.7496  0.9867

---

3.
PrSmCu2S4 after structural relaxation. Source: the Alexandria database, functional PBE.

Computed properties:
**D(E_F)**: 2.7 states/eV per cell
**Uncorrected energy**: -5.49 eV per atom
**Space group**: I222, No. 23

Lattice parameters (Å, degrees): 6.6076 6.7140 7.5972 90.00 90.00 90.00
Element x y z (fractional)
Pr  0.0000  0.0000  0.0000
Pr  0.5000  0.5000  0.5000
Sm  0.0000  0.0000  0.5000
Sm  0.5000  0.5000  0.0000
Cu  0.0000  0.5000  0.1726
Cu  0.0000  0.5000  0.8274
Cu  0.5000  0.0000  0.3274
Cu  0.5000  0.0000  0.6726
S  0.2423  0.2740  0.7934
S  0.2423  0.7260  0.2066
S  0.2577  0.2260  0.2934
S  0.2577  0.7740  0.7066
S  0.7423  0.2260  0.7066
S  0.7423  0.7740  0.2934
S  0.7577  0.2740  0.2066
S  0.7577  0.7260  0.7934

---

4.
PrSm2CuS5 after structural relaxation. Source: the Alexandria database, functional PBE.

Computed properties:
**D(E_F)**: 0.2 states/eV per cell
**Uncorrected energy**: -6.02 eV per atom
**Space group**: Cmc2_1, No. 36

Lattice parameters (Å, degrees): 9.2595 9.2595 11.3315 90.00 90.00 155.65
Element x y z (fractional)
Pr  0.1968  0.8032  0.5000
Pr  0.8032  0.1968  0.0000
Sm  0.0952  0.9048  0.1739
Sm  0.1114  0.8886  0.8010
Sm  0.8886  0.1114  0.3010
Sm  0.9048  0.0952  0.6739
Cu  0.4383  0.5617  0.9425
Cu  0.5617  0.4383  0.4425
S  0.0451  0.9549  0.5505
S  0.2990  0.7010  0.1822
S  0.3288  0.6712  0.8250
S  0.3599  0.6401  0.4945
S  0.4970  0.5030  0.2698
S  0.5030  0.4970  0.7698
S  0.6401  0.3599  0.9945
S  0.6712  0.3288  0.3250
S  0.7010  0.2990  0.6822
S  0.9549  0.0451  0.0505

---

5.
Pr2SmCuS5 after structural relaxation. Source: the Alexandria database, functional PBE.

Computed properties:
**D(E_F)**: 0.1 states/eV per cell
**Uncorrected energy**: -6.07 eV per atom
**Space group**: Cmc2_1, No. 36

Lattice parameters (Å, degrees): 8.8171 8.8171 11.7303 90.00 90.00 154.03
Element x y z (fractional)
Pr  0.1078  0.8922  0.5000
Pr  0.1196  0.8804  0.1270
Pr  0.8804  0.1196  0.6270
Pr  0.8922  0.1078  0.0000
Sm  0.1945  0.8055  0.8248
Sm  0.8055  0.1945  0.3248
Cu  0.4433  0.5567  0.2677
Cu  0.5567  0.4433  0.7677
S  0.0411  0.9589  0.8711
S  0.2907  0.7093  0.4925
S  0.3175  0.6825  0.1608
S  0.3580  0.6420  0.8168
S  0.4987  0.5013  0.5924
S  0.5013  0.4987  0.0924
S  0.6420  0.3580  0.3168
S  0.6825  0.3175  0.6608
S  0.7093  0.2907  0.9925
S  0.9589  0.0411  0.3711

---

6.
Pr2CuSnS5 after structural relaxation. Source: the Alexandria database, functional PBE.

Computed properties:
**D(E_F)**: 6.2 states/eV per cell
**Uncorrected energy**: -5.52 eV per atom
**Space group**: Cmc2_1, No. 36

Lattice parameters (Å, degrees): 8.6150 8.6150 11.8502 90.00 90.00 153.59
Element x y z (fractional)
Pr  0.1151  0.8849  0.5000
Pr  0.1193  0.8807  0.1180
Pr  0.8807  0.1193  0.6180
Pr  0.8849  0.1151  0.0000
Cu  0.4986  0.5014  0.8002
Cu  0.5014  0.4986  0.3002
Sn  0.1901  0.8099  0.8152
Sn  0.8099  0.1901  0.3152
S  0.0399  0.9601  0.8795
S  0.2913  0.7087  0.4750
S  0.2986  0.7014  0.1480
S  0.3555  0.6445  0.8119
S  0.4942  0.5058  0.1061
S  0.5058  0.4942  0.6061
S  0.6445  0.3555  0.3119
S  0.7014  0.2986  0.6480
S  0.7087  0.2913  0.9750
S  0.9601  0.0399  0.3795

---

7.
SrPrCu2S4 after structural relaxation. Source: the Alexandria database, functional PBE.

Computed properties:
**D(E_F)**: 0.9 states/eV per cell
**Uncorrected energy**: -5.06 eV per atom
**Space group**: I-42m, No. 121

Lattice parameters (Å, degrees): 6.6655 6.6655 7.7310 90.00 90.00 90.00
Element x y z (fractional)
Sr  0.0000  0.0000  0.0000
Sr  0.5000  0.5000  0.5000
Pr  0.0000  0.0000  0.5000
Pr  0.5000  0.5000  0.0000
Cu  0.0000  0.5000  0.2500
Cu  0.0000  0.5000  0.7500
Cu  0.5000  0.0000  0.2500
Cu  0.5000  0.0000  0.7500
S  0.2372  0.2372  0.7380
S  0.2372  0.7628  0.2620
S  0.2628  0.2628  0.2380
S  0.2628  0.7372  0.7620
S  0.7372  0.2628  0.7620
S  0.7372  0.7372  0.2380
S  0.7628  0.2372  0.2620
S  0.7628  0.7628  0.7380

---

8.
Tb2PrCuS5 after structural relaxation. Source: the Alexandria database, functional PBE.

Computed properties:
**D(E_F)**: 0.3 states/eV per cell
**Uncorrected energy**: -5.99 eV per atom
**Space group**: Cmc2_1, No. 36

Lattice parameters (Å, degrees): 9.4102 9.4102 11.0923 90.00 90.00 156.42
Element x y z (fractional)
Tb  0.0885  0.9115  0.5000
Tb  0.1092  0.8908  0.1267
Tb  0.8908  0.1092  0.6267
Tb  0.9115  0.0885  0.0000
Pr  0.1978  0.8022  0.8252
Pr  0.8022  0.1978  0.3252
Cu  0.4364  0.5636  0.2693
Cu  0.5636  0.4364  0.7693
S  0.0477  0.9523  0.8797
S  0.3028  0.6972  0.5140
S  0.3324  0.6676  0.1451
S  0.3614  0.6386  0.8224
S  0.4958  0.5042  0.5982
S  0.5042  0.4958  0.0982
S  0.6386  0.3614  0.3224
S  0.6676  0.3324  0.6451
S  0.6972  0.3028  0.0140
S  0.9523  0.0477  0.3797